DFT (PBE-GGA) results for a relaxed TbPm8Nd2 crystal.

abc: 5.746 10.266 10.266
angles: 40.56 93.56 93.56
Positions (direct):
Nd  0.742  0.284  0.284
Pm  0.731  0.864  0.392
Pm  0.731  0.392  0.864
Nd  0.258  0.716  0.716
Pm  0.229  0.186  0.186
Pm  0.771  0.814  0.814
Tb  0.000  0.000  0.000
Pm  0.765  0.455  0.455
Pm  0.269  0.136  0.608
Pm  0.269  0.608  0.136
Pm  0.235  0.545  0.545

Values from the calculation:
Space group ... C2/m, No. 12
Spin magnetization ... 0.0 μB/cell
Final energy ... -0.337 Ry/atom
ΔE to the lowest computed polymorph ... 0.148 eV per atom
ΔE_f ... 0.162 eV/atom

---

DFT (PBE-GGA) results for a relaxed TaNb4V2 crystal.

abc: 4.597 4.597 7.028
angles: 70.91 70.91 60.00
Positions (direct):
V  0.855  0.855  0.435
Nb  0.569  0.569  0.292
Ta  0.000  0.000  0.000
Nb  0.431  0.431  0.708
V  0.145  0.145  0.565
Nb  0.718  0.718  0.845
Nb  0.282  0.282  0.155

Values from the calculation:
Space group ... R-3m, No. 166
Spin magnetization ... 0.0 μB/cell
Final energy ... -0.736 Ry/atom
ΔE to the lowest computed polymorph ... 0.000 eV per atom
ΔE_f ... 0.045 eV/atom

---

DFT (PBE-GGA) results for a relaxed Tb2YTl2 crystal.

abc: 3.772 5.383 14.202
angles: 90.00 97.65 90.00
Positions (direct):
Tl  0.356  0.250  0.711
Tb  0.238  0.750  0.475
Tl  0.644  0.750  0.289
Tl  0.550  0.250  0.099
Tl  0.450  0.750  0.901
Tb  0.049  0.750  0.098
Y  0.148  0.250  0.298
Tb  0.762  0.250  0.525
Y  0.852  0.750  0.702
Tb  0.951  0.250  0.902

Values from the calculation:
Space group ... P2_1/m, No. 11
Spin magnetization ... 0.0 μB/cell
Final energy ... -0.322 Ry/atom
ΔE to the lowest computed polymorph ... 0.000 eV per atom
ΔE_f ... -0.296 eV/atom

---

DFT (PBE-GGA) results for a relaxed MnAgAu crystal.

abc: 7.455 2.843 9.276
angles: 90.00 97.10 90.00
Positions (direct):
Mn  0.042  0.000  0.828
Ag  0.413  0.000  0.858
Ag  0.587  0.000  0.142
Mn  0.042  0.500  0.328
Au  0.778  0.500  0.931
Au  0.222  0.500  0.069
Au  0.222  0.000  0.569
Ag  0.413  0.500  0.358
Mn  0.958  0.000  0.172
Ag  0.587  0.500  0.642
Au  0.778  0.000  0.431
Mn  0.958  0.500  0.672

Values from the calculation:
Space group ... C2/m, No. 12
Spin magnetization ... 0.0 μB/cell
Final energy ... -0.351 Ry/atom
ΔE to the lowest computed polymorph ... 0.305 eV per atom
ΔE_f ... 0.323 eV/atom